[1]
An optimized crystal structure of AlCrRe. Source: Alexandria via LeMat-Bulk, functional PBE.

```
AlCrRe
1.0
0.0000 2.8700 2.8700
2.8700 0.0000 2.8700
2.8700 2.8700 0.0000
Al Cr Re
1 1 1
direct
0.0000 0.0000 0.0000
0.7500 0.7500 0.7500
0.5000 0.5000 0.5000
```

* space-group type: F-43m
* mass density: 9.31 g/cm³
* magnetic moment: 0.09 μB per cell
* ΔE to the lowest computed polymorph: 557.6 meV/atom
* E_form: 0.334 eV/atom

***

[2]
An optimized crystal structure of TaCo2. Source: Alexandria via LeMat-Bulk, functional PBE.

```
TaCo2
1.0
5.7252 0.0000 0.0000
0.0000 5.7252 0.0000
0.0000 0.0000 5.7252
Ta Co
4 8
direct
0.0000 0.0000 0.0000
0.0000 0.5000 0.5000
0.5000 0.0000 0.5000
0.5000 0.5000 0.0000
0.1128 0.6128 0.8872
0.1128 0.8872 0.3872
0.3872 0.1128 0.8872
0.3872 0.3872 0.3872
0.6128 0.6128 0.6128
0.6128 0.8872 0.1128
0.8872 0.1128 0.6128
0.8872 0.3872 0.1128
```

* space-group type: Pa-3
* mass density: 10.58 g/cm³
* magnetic moment: 0.00 μB per cell
* E_form: 0.845 eV/atom

***

[3]
An optimized crystal structure of MgTlRe2. Source: Alexandria via LeMat-Bulk, functional PBE.

```
MgTlRe2
1.0
2.7225 -4.5238 0.0000
2.7225 4.5238 0.0000
0.0000 0.0000 2.8469
Mg Tl Re
1 1 2
direct
0.0000 0.0000 0.0000
0.5000 0.5000 0.0000
0.0000 0.5000 0.5000
0.5000 0.0000 0.5000
```

* space-group type: Cmmm
* mass density: 14.23 g/cm³
* magnetic moment: 0.00 μB per cell
* ΔE to the lowest computed polymorph: 617.5 meV/atom
* E_form: 0.906 eV/atom

***

[4]
An optimized crystal structure of CrCdCo2N. Source: Alexandria via LeMat-Bulk, functional PBE.

```
CrCdCo2N
1.0
3.9067 0.0000 0.0000
0.0000 3.9067 0.0000
0.0000 0.0000 3.8526
Cr Cd Co N
1 1 2 1
direct
0.0000 0.0000 0.0000
0.5000 0.5000 0.0000
0.0000 0.5000 0.5000
0.5000 0.0000 0.5000
0.0000 0.0000 0.5000
```

* total energy: -33.15 eV/cell
* space-group type: P4/mmm
* mass density: 8.37 g/cm³
* magnetic moment: 3.59 μB per cell

***

[5]
An optimized crystal structure of LaFeTc2. Source: Alexandria via LeMat-Bulk, functional PBE.

```
LaFeTc2
1.0
-2.3759 2.3759 8.1806
2.3759 -2.3759 8.1806
2.3759 2.3759 -8.1806
La Fe Tc
2 2 4
direct
0.3750 0.6250 0.7500
0.6250 0.3750 0.2500
0.1250 0.8750 0.2500
0.8750 0.1250 0.7500
0.0000 0.0000 0.0000
0.0000 0.0000 0.5000
0.0000 0.5000 0.0000
0.5000 0.0000 0.5000
```

* space-group type: I4_1/amd
* mass density: 7.03 g/cm³
* magnetic moment: 2.39 μB per cell
* ΔE to the lowest computed polymorph: 466.1 meV/atom
* E_form: 0.666 eV/atom

***

[6]
An optimized crystal structure of GaSb2IO. Source: Alexandria via LeMat-Bulk, functional PBE.

```
GaSb2IO
1.0
5.3347 0.0000 0.0000
0.0000 5.3347 0.0000
0.0000 0.0000 5.3732
Ga Sb I O
1 2 1 1
direct
0.0000 0.0000 0.0000
0.0000 0.5000 0.0000
0.5000 0.0000 0.0000
0.0000 0.0000 0.5000
0.5000 0.5000 0.5000
```

* space-group type: P4/mmm
* mass density: 4.95 g/cm³
* magnetic moment: 0.00 μB per cell
* ΔE to the lowest computed polymorph: 959.3 meV/atom

***

[7]
An optimized crystal structure of BeCrSi2As. Source: Alexandria via LeMat-Bulk, functional PBE.

```
BeCrSi2As
1.0
4.8481 0.0000 0.0000
0.0000 4.8481 0.0000
0.0000 0.0000 3.8699
Be Cr Si As
1 1 2 1
direct
0.0000 0.0000 0.0000
0.5000 0.5000 0.0000
0.0000 0.5000 0.5000
0.5000 0.0000 0.5000
0.0000 0.0000 0.5000
```

* total energy: -21.66 eV/cell
* space-group type: P4/mmm
* mass density: 3.51 g/cm³
* magnetic moment: 0.01 μB per cell

***

[8]
An optimized crystal structure of Pa2SnN2. Source: Alexandria via LeMat-Bulk, functional PBE.

```
Pa2SnN2
1.0
0.0000 4.9853 5.6008
3.4795 0.0000 5.6008
3.4795 4.9853 0.0000
Pa Sn N
4 2 4
direct
0.0571 0.6929 0.0571
0.3071 0.9429 0.3071
0.6929 0.0571 0.6929
0.9429 0.3071 0.9429
0.3750 0.3750 0.3750
0.6250 0.6250 0.6250
0.0018 0.0018 0.2482
0.2482 0.2482 0.0018
0.7518 0.7518 0.9982
0.9982 0.9982 0.7518
```

* total energy: -91.57 eV/cell
* space-group type: Fddd
* mass density: 10.41 g/cm³
* magnetic moment: 0.00 μB per cell